Entry 1:
Below is a relaxed SrMnAl2 crystal, with properties calculated at the PBE-GGA level.

Lattice parameters (Å, degrees): 5.146 5.146 5.434 122.34 122.33 92.32
Element x y z (fractional)
Sr: 0.746 0.254 0.500
Mn: 0.549 0.451 0.000
Al: 0.950 0.050 0.000
Al: 0.255 0.745 0.500

## Properties
formation enthalpy at 0 K = 0.2845 eV per atom
space group = C2 (5)
N(E_F) = 2.84 states/eV/cell

---

Entry 2:
Below is a relaxed InOsNF2 crystal, with properties calculated at the PBE-GGA level.

Lattice parameters (Å, degrees): 4.142 4.142 4.410 90.00 90.00 90.00
Element x y z (fractional)
N: 0.000 0.000 0.500
F: 0.000 0.500 0.000
F: 0.500 0.000 0.000
Os: 0.500 0.500 0.500
In: 0.000 0.000 0.000

## Properties
formation energy from raw total energies = 0.4725 eV/atom
distance to the lowest polymorph of the same formula = 962 meV per atom
space group = P4/mmm (123)
N(E_F) = 3.39 states/eV/cell

---

Entry 3:
Below is a relaxed Sc3NbBr crystal, with properties calculated at the PBE-GGA level.

Lattice parameters (Å, degrees): 4.928 4.928 4.928 90.00 90.00 90.00
Element x y z (fractional)
Sc: 0.000 0.500 0.000
Sc: 0.000 0.000 0.500
Sc: 0.500 0.000 0.000
Nb: 0.500 0.500 0.500
Br: 0.000 0.000 0.000

## Properties
formation energy from raw total energies = 0.2709 eV/atom
distance to the lowest polymorph of the same formula = 0 meV per atom
space group = Pm-3m (221)
N(E_F) = 1.83 states/eV/cell

---

Entry 4:
Below is a relaxed POs2Pt crystal, with properties calculated at the PBE-GGA level.

Lattice parameters (Å, degrees): 4.689 4.689 4.689 131.05 131.05 71.73
Element x y z (fractional)
P: 0.500 0.500 0.000
Os: 0.000 0.000 0.000
Os: 0.250 0.750 0.500
Pt: 0.750 0.250 0.500

## Properties
formation enthalpy at 0 K = 0.4481 eV per atom
space group = I-4m2 (119)
N(E_F) = 2.74 states/eV/cell

---

Entry 5:
Below is a relaxed NaAlSn crystal, with properties calculated at the PBE-GGA level.

Lattice parameters (Å, degrees): 4.015 5.905 7.178 108.52 89.90 70.45
Element x y z (fractional)
Na: 0.392 0.690 0.315
Na: 0.082 0.308 0.494
Sn: 0.707 0.057 0.118
Sn: 0.413 0.648 0.841
Al: 0.753 0.969 0.701
Al: 0.096 0.286 0.933

## Properties
formation enthalpy at 0 K = 0.0294 eV per atom
space group = P1 (1)
N(E_F) = 2.63 states/eV/cell

---

Entry 6:
Below is a relaxed MnGaHOs crystal, with properties calculated at the PBE-GGA level.

Lattice parameters (Å, degrees): 4.447 2.807 8.355 90.00 121.86 90.00
Element x y z (fractional)
Mn: 0.210 0.000 0.936
Mn: 0.210 0.500 0.436
Ga: 0.604 0.000 0.318
Ga: 0.604 0.500 0.818
H: 0.437 0.000 0.545
H: 0.437 0.500 0.045
Os: 0.922 0.000 0.132
Os: 0.922 0.500 0.632

## Properties
distance to the lowest polymorph of the same formula = 173 meV per atom
space group = Cm (8)
N(E_F) = 4.56 states/eV/cell

---

Entry 7:
Below is a relaxed MnAs6Os crystal, with properties calculated at the PBE-GGA level.

Lattice parameters (Å, degrees): 7.465 7.465 7.460 109.37 109.38 109.69
Element x y z (fractional)
Mn: 0.000 0.000 0.500
Mn: 0.500 0.500 0.500
As: 0.145 0.660 0.805
As: 0.855 0.340 0.195
As: 0.853 0.645 0.498
As: 0.147 0.355 0.502
As: 0.799 0.149 0.655
As: 0.201 0.851 0.345
As: 0.506 0.856 0.655
As: 0.494 0.144 0.345
As: 0.649 0.798 0.144
As: 0.351 0.202 0.856
As: 0.655 0.506 0.856
As: 0.345 0.494 0.144
Os: 0.000 0.500 0.000
Os: 0.500 0.000 0.000

## Properties
formation enthalpy at 0 K = -0.1198 eV per atom
space group = C2/m (12)
N(E_F) = 4.25 states/eV/cell

---

Entry 8:
Below is a relaxed Na4Mg crystal, with properties calculated at the PBE-GGA level.

Lattice parameters (Å, degrees): 6.226 6.226 6.226 99.86 99.86 131.10
Element x y z (fractional)
Na: 0.793 0.604 0.397
Na: 0.207 0.396 0.603
Na: 0.604 0.207 0.811
Na: 0.396 0.793 0.189
Mg: 0.000 0.000 0.000

## Properties
distance to the lowest polymorph of the same formula = 0 meV per atom
formation enthalpy at 0 K = 0.0723 eV per atom
space group = I4/m (87)
N(E_F) = 2.84 states/eV/cell

---

Entry 9:
Below is a relaxed Sm6GeS3Cl2 crystal, with properties calculated at the PBE-GGA level.

Lattice parameters (Å, degrees): 7.046 7.046 7.130 99.46 99.46 120.16
Element x y z (fractional)
Sm: 0.907 0.589 0.725
Sm: 0.770 0.770 0.275
Sm: 0.093 0.411 0.275
Sm: 0.589 0.907 0.725
Sm: 0.230 0.230 0.725
Sm: 0.411 0.093 0.275
Ge: 0.000 0.000 0.000
S: 0.169 0.831 0.500
S: 0.831 0.169 0.500
S: 0.500 0.500 0.500
Cl: 0.332 0.668 0.000
Cl: 0.668 0.332 0.000

## Properties
formation energy from raw total energies = -1.6642 eV/atom
space group = C2/m (12)
N(E_F) = 3.91 states/eV/cell

---

Entry 10:
Below is a relaxed ZrTcRu2 crystal, with properties calculated at the PBE-GGA level.

Lattice parameters (Å, degrees): 2.817 2.817 8.064 90.00 90.00 90.01
Element x y z (fractional)
Ru: 0.000 0.000 0.027
Ru: 0.500 0.500 0.249
Tc: 0.000 0.000 0.471
Zr: 0.500 0.500 0.753

## Properties
distance to the lowest polymorph of the same formula = 136 meV per atom
formation enthalpy at 0 K = 0.0765 eV per atom
space group = P4mm (99)
N(E_F) = 6.01 states/eV/cell

---

Entry 11:
Below is a relaxed CaPmBiO crystal, with properties calculated at the PBE-GGA level.

Lattice parameters (Å, degrees): 4.701 4.701 8.992 90.00 90.00 90.00
Element x y z (fractional)
Ca: 0.500 0.000 0.834
Ca: 0.000 0.500 0.166
Pm: 0.000 0.000 0.500
Pm: 0.500 0.500 0.500
Bi: 0.000 0.500 0.797
Bi: 0.500 0.000 0.203
O: 0.000 0.500 0.426
O: 0.500 0.000 0.574

## Properties
formation energy from raw total energies = -1.9135 eV/atom
space group = P4/nmm (129)
N(E_F) = 1.78 states/eV/cell

---

Entry 12:
Below is a relaxed Ba3RhI crystal, with properties calculated at the PBE-GGA level.

Lattice parameters (Å, degrees): 6.156 9.465 8.839 90.00 90.00 109.00
Element x y z (fractional)
Ba: 0.879 0.757 0.501
Ba: 0.121 0.243 0.499
Ba: 0.879 0.757 0.999
Ba: 0.121 0.243 0.001
Ba: 0.494 0.986 0.750
Ba: 0.506 0.014 0.250
Rh: 0.006 0.008 0.750
Rh: 0.994 0.992 0.250
I: 0.295 0.584 0.750
I: 0.705 0.416 0.250

## Properties
formation energy from raw total energies = -0.5854 eV/atom
distance to the lowest polymorph of the same formula = 3 meV per atom
space group = P2_1/m (11)
N(E_F) = 7.21 states/eV/cell

---

Entry 13:
Below is a relaxed RbPmTl2Cl6 crystal, with properties calculated at the PBE-GGA level.

Lattice parameters (Å, degrees): 7.950 7.949 8.203 60.99 60.99 59.95
Element x y z (fractional)
Rb: 0.811 0.812 0.565
Pm: 0.321 0.321 0.036
Tl: 0.528 0.528 0.415
Tl: 0.021 0.021 0.937
Cl: 0.566 0.206 0.244
Cl: 0.206 0.985 0.244
Cl: 0.984 0.566 0.243
Cl: 0.416 0.671 0.777
Cl: 0.671 0.136 0.777
Cl: 0.137 0.416 0.777

## Properties
formation energy from raw total energies = -1.7400 eV/atom
space group = P1 (1)
N(E_F) = 0.00 states/eV/cell

---

Entry 14:
Below is a relaxed Li6CdPb5 crystal, with properties calculated at the PBE-GGA level.

Lattice parameters (Å, degrees): 4.999 6.930 7.959 90.00 71.70 90.00
Element x y z (fractional)
Pb: 0.668 0.500 0.664
Pb: 0.335 0.000 0.330
Pb: 0.000 0.500 0.000
Pb: 0.665 0.000 0.670
Pb: 0.332 0.500 0.336
Cd: 0.000 0.000 0.000
Li: 0.836 0.755 0.328
Li: 0.836 0.245 0.328
Li: 0.500 0.247 0.000
Li: 0.500 0.753 0.000
Li: 0.164 0.755 0.672
Li: 0.164 0.245 0.672

## Properties
formation enthalpy at 0 K = -0.2545 eV per atom
space group = Cmmm (65)
N(E_F) = 4.64 states/eV/cell

---

Entry 15:
Below is a relaxed KTaO3 crystal, with properties calculated at the PBE-GGA level.

Lattice parameters (Å, degrees): 3.981 5.912 6.567 116.66 90.00 90.00
Element x y z (fractional)
K: 0.245 0.390 0.582
K: 0.245 0.646 0.090
O: 0.245 0.877 0.556
O: 0.745 0.236 0.835
O: 0.245 0.159 0.116
O: 0.745 0.018 0.336
O: 0.745 0.518 0.336
O: 0.745 0.800 0.836
Ta: 0.745 0.151 0.101
Ta: 0.745 0.885 0.571

## Properties
formation energy from raw total energies = -2.6322 eV/atom
space group = P2/m (10)
N(E_F) = 0.00 states/eV/cell

---

Entry 16:
Below is a relaxed Li2YHgAu2 crystal, with properties calculated at the PBE-GGA level.

Lattice parameters (Å, degrees): 4.575 4.575 6.475 90.00 90.00 120.00
Element x y z (fractional)
Li: 0.333 0.667 0.660
Li: 0.667 0.333 0.340
Y: 0.000 0.000 0.000
Hg: 0.000 0.000 0.500
Au: 0.333 0.667 0.234
Au: 0.667 0.333 0.766

## Properties
formation enthalpy at 0 K = -0.5724 eV per atom
space group = P-3m1 (164)
N(E_F) = 3.17 states/eV/cell

---

Entry 17:
Below is a relaxed TbHo3Th3 crystal, with properties calculated at the PBE-GGA level.

Lattice parameters (Å, degrees): 5.787 9.487 9.487 120.00 90.00 90.00
Element x y z (fractional)
Tb: 0.250 0.333 0.667
Tb: 0.750 0.667 0.333
Ho: 0.750 0.805 0.762
Ho: 0.750 0.957 0.195
Ho: 0.250 0.762 0.957
Ho: 0.750 0.238 0.043
Ho: 0.250 0.043 0.805
Ho: 0.250 0.195 0.238
Th: 0.750 0.515 0.898
Th: 0.750 0.382 0.485
Th: 0.250 0.898 0.382
Th: 0.750 0.102 0.618
Th: 0.250 0.618 0.515
Th: 0.250 0.485 0.102

## Properties
distance to the lowest polymorph of the same formula = 0 meV per atom
formation enthalpy at 0 K = 0.0529 eV per atom
space group = P6_3/m (176)
N(E_F) = 21.77 states/eV/cell

---

Entry 18:
Below is a relaxed Er4SiSe3 crystal, with properties calculated at the PBE-GGA level.

Lattice parameters (Å, degrees): 5.726 5.726 5.726 90.00 90.00 90.00
Element x y z (fractional)
Er: 0.500 0.000 0.000
Er: 0.000 0.500 0.000
Er: 0.000 0.000 0.500
Er: 0.500 0.500 0.500
Si: 0.000 0.000 0.000
Se: 0.000 0.500 0.500
Se: 0.500 0.000 0.500
Se: 0.500 0.500 0.000

## Properties
formation energy from raw total energies = -1.5479 eV/atom
space group = Pm-3m (221)
N(E_F) = 3.15 states/eV/cell

---

Entry 19:
Below is a relaxed InSeClO3 crystal, with properties calculated at the PBE-GGA level.

Lattice parameters (Å, degrees): 7.152 7.320 17.213 90.00 90.00 90.00
Element x y z (fractional)
In: 0.535 0.750 0.158
In: 0.965 0.250 0.842
In: 0.035 0.250 0.342
In: 0.465 0.750 0.658
In: 0.465 0.250 0.842
In: 0.035 0.750 0.158
In: 0.965 0.750 0.658
In: 0.535 0.250 0.342
Se: 0.785 0.324 0.163
Se: 0.715 0.824 0.837
Se: 0.285 0.676 0.337
Se: 0.215 0.176 0.663
Se: 0.215 0.676 0.837
Se: 0.285 0.176 0.163
Se: 0.715 0.324 0.663
Se: 0.785 0.824 0.337
Cl: 0.785 0.805 0.054
Cl: 0.715 0.305 0.946
Cl: 0.285 0.195 0.446
Cl: 0.215 0.695 0.554
Cl: 0.215 0.195 0.946
Cl: 0.285 0.695 0.054
Cl: 0.715 0.805 0.554
Cl: 0.785 0.305 0.446
O: 0.980 0.458 0.157
O: 0.520 0.958 0.843
O: 0.480 0.542 0.343
O: 0.020 0.042 0.657
O: 0.020 0.542 0.843
O: 0.480 0.042 0.157
O: 0.520 0.458 0.657
O: 0.980 0.958 0.343
O: 0.590 0.459 0.157
O: 0.910 0.959 0.843
O: 0.090 0.541 0.343
O: 0.410 0.041 0.657
O: 0.410 0.541 0.843
O: 0.090 0.041 0.157
O: 0.910 0.459 0.657
O: 0.590 0.959 0.343
O: 0.786 0.285 0.268
O: 0.714 0.785 0.732
O: 0.286 0.715 0.232
O: 0.214 0.215 0.768
O: 0.214 0.715 0.732
O: 0.286 0.215 0.268
O: 0.714 0.285 0.768
O: 0.786 0.785 0.232

## Properties
formation energy from raw total energies = -1.0991 eV/atom
space group = Pbca (61)
N(E_F) = 0.00 states/eV/cell

---

Entry 20:
Below is a relaxed PrMnN2 crystal, with properties calculated at the PBE-GGA level.

Lattice parameters (Å, degrees): 5.499 5.499 6.382 90.00 90.00 120.00
Element x y z (fractional)
Pr: 0.351 0.351 0.000
Pr: 0.000 0.649 0.667
Pr: 0.649 0.000 0.333
Mn: 0.415 0.415 0.500
Mn: 0.000 0.585 0.167
Mn: 0.585 0.000 0.833
N: 0.867 0.303 0.965
N: 0.437 0.133 0.631
N: 0.697 0.563 0.298
N: 0.303 0.867 0.035
N: 0.133 0.437 0.369
N: 0.563 0.697 0.702

## Properties
formation energy from raw total energies = -0.8305 eV/atom
space group = P3_121 (152)
N(E_F) = 7.39 states/eV/cell